Ho3ZnP2Rh9 | PBE | optimized geometry

Lattice parameters (Å, degrees): 6.170 6.170 8.125 90.00 90.00 120.00
Fractional positions:
Rh  0.163  0.837  0.305
Rh  0.326  0.163  0.695
Ho  0.000  0.000  0.000
Ho  0.333  0.667  0.653
P  0.667  0.333  0.836
Rh  0.500  0.500  0.000
P  0.333  0.667  0.164
Rh  0.837  0.163  0.695
Rh  0.163  0.326  0.305
Ho  0.667  0.333  0.347
Rh  0.674  0.837  0.305
Rh  0.500  0.000  0.000
Rh  0.837  0.674  0.695
Rh  0.000  0.500  0.000
Zn  0.000  0.000  0.500

Results
spin magnetization: 0.00 μB per atom
energy of formation from the pure elements: -589 meV/atom